(1)
{"formula": "TmFeCu", "functional": "GGA-PBE", "state": "relaxed", "lattice": [[-3.916, -0.108, -1.872], [-3.003, 2.945, 1.077], [-1.135, 3.083, -2.840]], "species": ["Tm", "Fe", "Cu"], "frac_coords": [[0.750, 0.750, 0.750], [0.250, 0.250, 0.250], [0.000, 0.000, 0.000]], "crystal_system": "cubic"}

(2)
{"formula": "TmFeCu", "functional": "GGA-PBE", "state": "relaxed", "lattice": [[0.382, -3.797, 2.268], [-1.109, -0.140, 4.297], [-3.640, -2.195, 1.283]], "species": ["Tm", "Fe", "Cu"], "frac_coords": [[0.000, 0.000, 0.000], [0.750, 0.750, 0.750], [0.250, 0.250, 0.250]], "crystal_system": "cubic"}

(3)
{"formula": "TmFeCu", "functional": "GGA-PBE", "state": "relaxed", "lattice": [[-0.505, 2.599, 6.280], [1.561, -3.381, 1.525], [6.809, 2.858, -0.635]], "species": ["Cu", "Cu", "Cu", "Cu", "Fe", "Fe", "Fe", "Fe", "Tm", "Tm", "Tm", "Tm"], "frac_coords": [[0.768, 0.250, 0.378], [0.232, 0.750, 0.622], [0.268, 0.250, 0.122], [0.732, 0.750, 0.878], [0.877, 0.750, 0.553], [0.623, 0.250, 0.053], [0.123, 0.250, 0.447], [0.377, 0.750, 0.947], [0.975, 0.750, 0.188], [0.475, 0.750, 0.312], [0.525, 0.250, 0.688], [0.025, 0.250, 0.812]], "crystal_system": "orthorhombic"}

(4)
{"formula": "UFeCu", "functional": "GGA-PBE", "state": "relaxed", "lattice": [[-0.522, -1.131, 4.118], [1.394, 2.594, 3.136], [-2.827, 2.105, 2.467]], "species": ["Cu", "U", "Fe"], "frac_coords": [[0.500, 0.500, 0.500], [0.250, 0.250, 0.250], [0.000, 0.000, 0.000]], "relative_energy_mev_per_atom": 507, "crystal_system": "cubic"}

Number 1: volume 57.9 Å³ per cell, E_form 0.32 eV/atom. Number 2: volume 61.9 Å³ per cell, E_form 0.86 eV/atom. Number 3: volume 203.3 Å³ per cell, E_form -0.03 eV/atom. Number 4: volume 56.3 Å³ per cell, E_form 0.97 eV/atom.